P3SF | Alexandria | PBE-GGA | optimized geometry; space-group type = Pm-3m; polymorph energy (0 for the lowest one) = 0 meV per atom; formation energy (no corrections) = 20.4 kcal/mol of atoms; energy = -17.8 eV for the cell shown
1.0
-3.379 2.781 1.055
-2.671 -2.134 -2.929
-1.309 -2.824 3.252
F P S
1 3 1
Cartesian
-3.680 -1.089 0.690
-0.654 -1.412 1.626
-1.336 -1.067 -1.464
-1.690 1.390 0.528
0.000 0.000 0.000

***

K2UHgI6 | Alexandria | PBE-GGA | optimized geometry; space-group type = R3; formation energy (no corrections) = -23.0 kcal/mol of atoms; energy = -33.1 eV for the cell shown
1.0
8.726 0.002 -0.001
4.364 7.559 0.000
4.362 2.521 8.087
U I Hg K
1 6 1 2
Cartesian
4.364 2.521 0.048
7.568 7.891 1.791
9.812 7.228 6.349
10.075 3.006 6.350
6.839 2.612 1.792
6.288 4.888 6.350
11.772 4.621 1.790
13.090 7.562 4.193
13.090 7.562 0.165
8.726 5.040 3.635

***

CdRePt2 | Alexandria | PBE-GGA | optimized geometry; space-group type = I-42d; energy = -44.2 eV for the cell shown
1.0
-0.200 0.474 5.484
-1.770 -5.201 0.385
5.227 -4.448 3.341
Cd Pt Re
2 4 2
Cartesian
-0.985 -2.364 2.934
1.236 -6.006 3.330
0.952 -1.445 4.552
2.119 -7.701 7.658
0.184 -4.324 1.520
3.259 -4.880 4.690
0.000 0.000 0.000
2.021 -3.169 5.880

***

The lowest energy belongs to which entry? CdRePt2

***

Which formula does entry 2 have? K2UHgI6

***

energy of number 2 (K2UHgI6)? -33.1 eV for the cell shown